# CsCdSb2I PBE-GGA relaxed
# DFT total energy: -2.36 eV/atom
# E_form (uncorrected): -0.0454 eV per atom
data_CsCdSb2I
_chemical_formula_sum 'Cs1 Cd1 Sb2 I1'
_cell_length_a 5.630
_cell_length_b 5.630
_cell_length_c 6.849
_cell_angle_alpha 90.00
_cell_angle_beta 90.00
_cell_angle_gamma 90.00
_symmetry_space_group_name_H-M 'P 4/m m m'
_symmetry_Int_Tables_number 123
_symmetry_space_group_name_Hall '-P 4 2'
loop_
_atom_site_label
_atom_site_type_symbol
_atom_site_fract_x
_atom_site_fract_y
_atom_site_fract_z
Cs1 Cs 0.000 0.000 0.000
Cd1 Cd 0.500 0.500 0.500
Sb1 Sb 0.000 0.500 0.500
I1 I 0.500 0.500 0.000


# CsCd2SbI8 PBE-GGA relaxed
# DFT total energy: -2.24 eV/atom
# E_form (uncorrected): -0.6436 eV per atom
data_CsCd2SbI8
_chemical_formula_sum 'Cs1 Cd2 Sb1 I8'
_cell_length_a 7.589
_cell_length_b 7.609
_cell_length_c 11.134
_cell_angle_alpha 84.48
_cell_angle_beta 83.95
_cell_angle_gamma 68.51
_symmetry_space_group_name_H-M 'P -1'
_symmetry_Int_Tables_number 2
_symmetry_space_group_name_Hall '-P 1'
loop_
_atom_site_label
_atom_site_type_symbol
_atom_site_fract_x
_atom_site_fract_y
_atom_site_fract_z
Cs1 Cs 0.000 0.000 0.000
Cd1 Cd 0.372 0.369 0.295
Sb1 Sb 0.000 0.000 0.500
I1 I 0.217 0.724 0.699
I2 I 0.241 0.240 0.520
I3 I 0.276 0.779 0.298
I4 I 0.318 0.302 0.068


# Cs2ScCdI6 PBE-GGA relaxed
# DFT total energy: -2.96 eV/atom
# E_form (uncorrected): -1.1392 eV per atom
data_Cs2ScCdI6
_chemical_formula_sum 'Cs4 Sc2 Cd2 I12'
_cell_length_a 8.634
_cell_length_b 8.634
_cell_length_c 12.185
_cell_angle_alpha 90.00
_cell_angle_beta 90.00
_cell_angle_gamma 90.00
_symmetry_space_group_name_H-M 'I 4/m m m'
_symmetry_Int_Tables_number 139
_symmetry_space_group_name_Hall '-I 4 2'
loop_
_atom_site_label
_atom_site_type_symbol
_atom_site_fract_x
_atom_site_fract_y
_atom_site_fract_z
Cs1 Cs 0.000 0.500 0.250
Sc1 Sc 0.000 0.000 0.000
Cd1 Cd 0.000 0.000 0.500
I1 I 0.000 0.000 0.240
I2 I 0.239 0.239 0.000


# CsScCdI6 PBE-GGA relaxed
# DFT total energy: -3.01 eV/atom
# E_form (uncorrected): -1.0801 eV per atom
data_CsScCdI6
_chemical_formula_sum 'Cs1 Sc1 Cd1 I6'
_cell_length_a 7.6975
_cell_length_b 7.6975
_cell_length_c 8.7271
_cell_angle_alpha 90.00
_cell_angle_beta 90.00
_cell_angle_gamma 120.00
_symmetry_space_group_name_H-M 'P 3 1 2'
_symmetry_Int_Tables_number 149
_symmetry_space_group_name_Hall 'P 3 2'
loop_
_atom_site_label
_atom_site_type_symbol
_atom_site_fract_x
_atom_site_fract_y
_atom_site_fract_z
Cs1 Cs 0.0000 0.0000 0.0000
Sc1 Sc 0.3333 0.6667 0.5000
Cd1 Cd 0.6667 0.3333 0.5000
I1 I 0.0117 0.3773 0.6953


# Cs2CdSeI6 PBE-GGA relaxed
# DFT total energy: -2.26 eV/atom
# E_form (uncorrected): -0.7170 eV per atom
data_Cs2CdSeI6
_chemical_formula_sum 'Cs4 Cd2 Se2 I12'
_cell_length_a 8.562
_cell_length_b 8.562
_cell_length_c 12.100
_cell_angle_alpha 90.00
_cell_angle_beta 90.00
_cell_angle_gamma 90.00
_symmetry_space_group_name_H-M 'I 4/m m m'
_symmetry_Int_Tables_number 139
_symmetry_space_group_name_Hall '-I 4 2'
loop_
_atom_site_label
_atom_site_type_symbol
_atom_site_fract_x
_atom_site_fract_y
_atom_site_fract_z
Cs1 Cs 0.000 0.500 0.250
Cd1 Cd 0.000 0.000 0.000
Se1 Se 0.000 0.000 0.500
I1 I 0.000 0.000 0.268
I2 I 0.243 0.243 0.000


# Cs2CdSeI PBE-GGA relaxed
# DFT total energy: -2.48 eV/atom
# E_form (uncorrected): -0.9474 eV per atom
data_Cs2CdSeI
_chemical_formula_sum 'Cs2 Cd1 Se1 I1'
_cell_length_a 7.084
_cell_length_b 7.084
_cell_length_c 5.371
_cell_angle_alpha 90.00
_cell_angle_beta 90.00
_cell_angle_gamma 90.00
_symmetry_space_group_name_H-M 'P 4/m m m'
_symmetry_Int_Tables_number 123
_symmetry_space_group_name_Hall '-P 4 2'
loop_
_atom_site_label
_atom_site_type_symbol
_atom_site_fract_x
_atom_site_fract_y
_atom_site_fract_z
Cs1 Cs 0.000 0.500 0.000
Cd1 Cd 0.000 0.000 0.500
Se1 Se 0.000 0.000 0.000
I1 I 0.500 0.500 0.500


# CsSmCdI6 PBE-GGA relaxed
# DFT total energy: -2.91 eV/atom
# E_form (uncorrected): -1.1606 eV per atom
data_CsSmCdI6
_chemical_formula_sum 'Cs1 Sm1 Cd1 I6'
_cell_length_a 7.9591
_cell_length_b 7.9591
_cell_length_c 8.6466
_cell_angle_alpha 90.00
_cell_angle_beta 90.00
_cell_angle_gamma 120.00
_symmetry_space_group_name_H-M 'P 3 1 2'
_symmetry_Int_Tables_number 149
_symmetry_space_group_name_Hall 'P 3 2'
loop_
_atom_site_label
_atom_site_type_symbol
_atom_site_fract_x
_atom_site_fract_y
_atom_site_fract_z
Cs1 Cs 0.0000 0.0000 0.0000
Sm1 Sm 0.6667 0.3333 0.5000
Cd1 Cd 0.3333 0.6667 0.5000
I1 I 0.0060 0.3787 0.2931


# Cs3Cd2SnI9 PBE-GGA relaxed
# DFT total energy: -2.43 eV/atom
# E_form (uncorrected): -0.9373 eV per atom
data_Cs3Cd2SnI9
_chemical_formula_sum 'Cs3 Cd2 Sn1 I9'
_cell_length_a 8.6414
_cell_length_b 8.6414
_cell_length_c 10.5853
_cell_angle_alpha 90.00
_cell_angle_beta 90.00
_cell_angle_gamma 120.00
_symmetry_space_group_name_H-M 'P -3 m 1'
_symmetry_Int_Tables_number 164
_symmetry_space_group_name_Hall '-P 3 2"'
loop_
_atom_site_label
_atom_site_type_symbol
_atom_site_fract_x
_atom_site_fract_y
_atom_site_fract_z
Cs1 Cs 0.0000 0.0000 0.0000
Cs2 Cs 0.3333 0.6667 0.6702
Cd1 Cd 0.3333 0.6667 0.1617
Sn1 Sn 0.0000 0.0000 0.5000
I1 I 0.0000 0.5000 0.0000
I2 I 0.1699 0.3398 0.3284


# Cs2CdSnI6 PBE-GGA relaxed
# DFT total energy: -2.53 eV/atom
# E_form (uncorrected): -0.9350 eV per atom
data_Cs2CdSnI6
_chemical_formula_sum 'Cs8 Cd4 Sn4 I24'
_cell_length_a 12.310
_cell_length_b 12.310
_cell_length_c 12.310
_cell_angle_alpha 90.00
_cell_angle_beta 90.00
_cell_angle_gamma 90.00
_symmetry_space_group_name_H-M 'F m -3 m'
_symmetry_Int_Tables_number 225
_symmetry_space_group_name_Hall '-F 4 2 3'
loop_
_atom_site_label
_atom_site_type_symbol
_atom_site_fract_x
_atom_site_fract_y
_atom_site_fract_z
Cs1 Cs 0.250 0.250 0.250
Cd1 Cd 0.000 0.000 0.000
Sn1 Sn 0.000 0.000 0.500
I1 I 0.000 0.000 0.245


# CsSrCdI5 PBE-GGA relaxed
# DFT total energy: -2.65 eV/atom
# E_form (uncorrected): -1.2507 eV per atom
data_CsSrCdI5
_chemical_formula_sum 'Cs4 Sr4 Cd4 I20'
_cell_length_a 10.919
_cell_length_b 14.391
_cell_length_c 11.804
_cell_angle_alpha 90.00
_cell_angle_beta 114.60
_cell_angle_gamma 90.00
_symmetry_space_group_name_H-M 'C 1 2/c 1'
_symmetry_Int_Tables_number 15
_symmetry_space_group_name_Hall '-C 2yc'
loop_
_atom_site_label
_atom_site_type_symbol
_atom_site_fract_x
_atom_site_fract_y
_atom_site_fract_z
Cs1 Cs 0.000 0.151 0.250
Sr1 Sr 0.000 0.500 0.000
Cd1 Cd 0.000 0.185 0.750
I1 I 0.000 0.414 0.250
I2 I 0.117 0.289 0.616
I3 I 0.184 0.068 0.941


# CsTbCdI6 PBE-GGA relaxed
# DFT total energy: -2.90 eV/atom
# E_form (uncorrected): -1.1583 eV per atom
data_CsTbCdI6
_chemical_formula_sum 'Cs1 Tb1 Cd1 I6'
_cell_length_a 7.8760
_cell_length_b 7.8760
_cell_length_c 8.7222
_cell_angle_alpha 90.00
_cell_angle_beta 90.00
_cell_angle_gamma 120.00
_symmetry_space_group_name_H-M 'P 3 1 2'
_symmetry_Int_Tables_number 149
_symmetry_space_group_name_Hall 'P 3 2'
loop_
_atom_site_label
_atom_site_type_symbol
_atom_site_fract_x
_atom_site_fract_y
_atom_site_fract_z
Cs1 Cs 0.0000 0.0000 0.0000
Tb1 Tb 0.3333 0.6667 0.5000
Cd1 Cd 0.6667 0.3333 0.5000
I1 I 0.3741 0.0019 0.7030


# Cs2CdTeI6 PBE-GGA relaxed
# DFT total energy: -2.27 eV/atom
# E_form (uncorrected): -0.7623 eV per atom
data_Cs2CdTeI6
_chemical_formula_sum 'Cs4 Cd2 Te2 I12'
_cell_length_a 8.735
_cell_length_b 8.735
_cell_length_c 12.341
_cell_angle_alpha 90.00
_cell_angle_beta 90.00
_cell_angle_gamma 90.00
_symmetry_space_group_name_H-M 'I 4/m m m'
_symmetry_Int_Tables_number 139
_symmetry_space_group_name_Hall '-I 4 2'
loop_
_atom_site_label
_atom_site_type_symbol
_atom_site_fract_x
_atom_site_fract_y
_atom_site_fract_z
Cs1 Cs 0.000 0.500 0.250
Cd1 Cd 0.000 0.000 0.000
Te1 Te 0.000 0.000 0.500
I1 I 0.000 0.000 0.258
I2 I 0.242 0.242 0.000


Number 1: V 43.41 Å³ per atom, total moment 1.70 μB per formula unit. Number 2: V 49.48 Å³ per atom, total moment 0.00 μB per formula unit. Number 3: V 45.42 Å³ per atom, total moment 0.00 μB per formula unit. Number 4: V 49.76 Å³ per atom, total moment 0.00 μB per formula unit. Number 5: V 44.35 Å³ per atom, total moment 0.00 μB per formula unit. Number 6: V 53.89 Å³ per atom, total moment 0.00 μB per formula unit. Number 7: V 52.71 Å³ per atom, total moment 0.00 μB per formula unit. Number 8: V 45.64 Å³ per atom, total moment 0.00 μB per formula unit. Number 9: V 46.63 Å³ per atom, total moment 0.00 μB per formula unit. Number 10: V 52.70 Å³ per atom, total moment 0.00 μB per formula unit. Number 11: V 52.06 Å³ per atom, total moment 0.00 μB per formula unit. Number 12: V 47.08 Å³ per atom, total moment 0.00 μB per formula unit.